one) # SbBrCl4

A geometry-optimized SbBrCl4 structure (PBE, the Alexandria database).

```
12
Lattice="3.9914 -9.2087 0.0000 3.9914 9.2087 0.0000 -1.8580 0.0000 6.5879" Properties=species:S:1:pos:R:3 pbc="T T T"
Sb 2.5979 8.1931 4.9409
Sb 3.5269 -8.1931 1.6470
Br 3.5269 2.9201 1.6470
Br 2.5979 -2.9201 4.9409
Cl 1.1882 3.0696 1.0845
Cl 0.4187 0.8164 4.1743
Cl 1.3477 -0.8164 0.8804
Cl 0.2592 -3.0696 4.3785
Cl 5.8656 3.0696 2.2094
Cl 4.7771 0.8164 5.7076
Cl 5.7061 -0.8164 2.4136
Cl 4.9366 -3.0696 5.5034
```

## Properties
Space group   C2/c, No. 15



two) # SbBrCl4

A geometry-optimized SbBrCl4 structure (PBE, the Alexandria database).

```
6
Lattice="0.0000 4.1221 4.1221 4.1221 0.0000 4.1221 4.1221 4.1221 0.0000" Properties=species:S:1:pos:R:3 pbc="T T T"
Sb 0.0000 0.0000 0.0000
Br 6.1831 6.1831 6.1831
Cl 3.0845 3.0845 3.0845
Cl 5.1596 5.1596 3.0845
Cl 5.1596 3.0845 5.1596
Cl 3.0845 5.1596 5.1596
```

## Properties
Space group   F-43m, No. 216



three) # SbBrCl4

A geometry-optimized SbBrCl4 structure (PBE, the Alexandria database).

```
6
Lattice="-3.6850 3.6850 5.1916 3.6850 -3.6850 5.1916 3.6850 3.6850 -5.1916" Properties=species:S:1:pos:R:3 pbc="T T T"
Sb 0.0000 0.0000 0.0000
Br 0.0000 3.6850 2.5958
Cl 1.9137 0.0000 1.3509
Cl 3.6850 -1.7713 3.8407
Cl 5.4563 0.0000 1.3509
Cl 3.6850 1.7713 3.8407
```

## Properties
Space group   I-4m2, No. 119



Most stable of them? one).



one) # SbBr4Cl

A geometry-optimized SbBr4Cl structure (PBE, the Alexandria database).

```
6
Lattice="0.0000 4.3235 4.3235 4.3235 0.0000 4.3235 4.3235 4.3235 0.0000" Properties=species:S:1:pos:R:3 pbc="T T T"
Sb 0.0000 0.0000 0.0000
Br 5.4006 3.2464 3.2464
Br 3.2464 5.4006 3.2464
Br 3.2464 3.2464 5.4006
Br 5.4006 5.4006 5.4006
Cl 2.1618 2.1618 2.1618
```

## Properties
Space group   F-43m, No. 216



two) # SbBr4Cl

A geometry-optimized SbBr4Cl structure (PBE, the Alexandria database).

```
12
Lattice="4.0979 -9.4945 0.0000 4.0979 9.4945 0.0000 -2.8253 0.0000 6.6278" Properties=species:S:1:pos:R:3 pbc="T T T"
Sb 1.9789 8.4800 4.9709
Sb 3.3916 -8.4800 1.6570
Br 0.9666 3.3008 1.3666
Br -0.0722 0.8698 4.4251
Br 1.3405 -0.8698 1.1112
Br -0.4461 -3.3008 4.6806
Br 5.8166 3.3008 1.9473
Br 4.0300 0.8698 5.5166
Br 5.4427 -0.8698 2.2027
Br 4.4039 -3.3008 5.2612
Cl 3.3916 3.1163 1.6570
Cl 1.9789 -3.1163 4.9709
```

## Properties
Space group   C2/c, No. 15



Most stable of them? two).